The following is a DFT calculation (PBE) of a relaxed TlAg4Pd4 crystal.

a = 6.4211 Å, b = 6.4211 Å, c = 6.4211 Å
α = 96.21°, β = 96.21°, γ = 141.60°
Atoms (fractional coordinates):
Tl 0.0000 0.0000 0.0000
Ag 0.3284 0.3284 0.6569
Ag 0.3284 0.6716 0.0000
Ag 0.6716 0.3284 0.0000
Ag 0.6716 0.6716 0.3431
Pd 0.0000 0.3372 0.3372
Pd 0.0000 0.6628 0.6628
Pd 0.3372 0.0000 0.3372
Pd 0.6628 0.0000 0.6628

Properties
The density of states at the Fermi level comes out at 3.38 states/eV per cell. The formation energy comes out at -0.054 eV per atom.